Record 1
Below is an optimized crystal structure of Ba3SiHg, with properties calculated at the PBE level.

a b c (Å): 6.4141 6.4141 6.4141
angles (deg): 90.00 90.00 90.00
Positions (direct):
Si 0.0000 0.0000 0.0000
Ba 0.5000 0.0000 0.0000
Hg 0.5000 0.5000 0.5000
Ba 0.0000 0.5000 0.0000
Ba 0.0000 0.0000 0.5000

Values from the calculation:
- Uncorrected energy: -2.386 eV per atom
- SG: Pm-3m, No. 221
- Polymorph energy (0 for the lowest one): 226 meV per atom

Record 2
Below is an optimized crystal structure of BaSiHg2, with properties calculated at the PBE level.

a b c (Å): 6.6162 5.4969 3.9337
angles (deg): 87.76 73.68 113.81
Positions (direct):
Ba 0.5000 0.0000 0.5000
Hg 0.0000 0.5000 0.5000
Hg 0.0000 0.0000 0.0000
Si 0.5000 0.5000 0.0000

Values from the calculation:
- Uncorrected energy: -1.893 eV per atom
- SG: C2/m, No. 12

Record 3
Below is an optimized crystal structure of BaSiHg2, with properties calculated at the PBE level.

a b c (Å): 5.4942 5.4942 9.6320
angles (deg): 73.43 73.43 90.00
Positions (direct):
Hg 0.3750 0.5490 0.7500
Hg 0.8750 0.7010 0.7500
Si 0.5000 0.5000 0.0000
Hg 0.2990 0.6250 0.2500
Ba 0.7500 0.2500 0.5000
Hg 0.4510 0.1250 0.2500
Ba 0.0000 0.0000 0.0000
Si 0.2500 0.7500 0.5000

Values from the calculation:
- Uncorrected energy: -2.075 eV per atom
- SG: I-42d, No. 122

Record 4
Below is an optimized crystal structure of BaSi3Hg, with properties calculated at the PBE level.

a b c (Å): 5.2268 5.2268 5.2268
angles (deg): 90.00 90.00 90.00
Positions (direct):
Hg 0.0000 0.0000 0.0000
Si 0.5000 0.0000 0.0000
Ba 0.5000 0.5000 0.5000
Si 0.0000 0.5000 0.0000
Si 0.0000 0.0000 0.5000

Values from the calculation:
- Uncorrected energy: -3.066 eV per atom
- SG: Pm-3m, No. 221
- Polymorph energy (0 for the lowest one): 0 meV per atom

Record 5
Below is an optimized crystal structure of Ba3Si2Hg4, with properties calculated at the PBE level.

a b c (Å): 4.7671 6.7258 9.7078
angles (deg): 102.59 90.00 110.76
Positions (direct):
Ba 0.3355 0.6710 0.3469
Hg 0.2767 0.5533 0.9242
Hg 0.9458 0.8915 0.6254
Si 0.6099 0.2198 0.2768
Si 0.3901 0.7802 0.7232
Hg 0.0542 0.1085 0.3746
Ba 0.6645 0.3290 0.6531
Hg 0.7233 0.4467 0.0758
Ba 0.0000 0.0000 0.0000

Values from the calculation:
- Uncorrected energy: -2.377 eV per atom
- SG: C2/m, No. 12

Record 6
Below is an optimized crystal structure of Ba4SiHg, with properties calculated at the PBE level.

a b c (Å): 7.1145 7.1145 7.1145
angles (deg): 60.00 60.00 60.00
Positions (direct):
Ba 0.3738 0.8785 0.3738
Ba 0.8785 0.3738 0.3738
Hg 0.7500 0.7500 0.7500
Ba 0.3738 0.3738 0.8785
Ba 0.3738 0.3738 0.3738
Si 0.0000 0.0000 0.0000

Values from the calculation:
- Uncorrected energy: -1.760 eV per atom
- SG: F-43m, No. 216

Record 7
Below is an optimized crystal structure of Ba2VSiHg, with properties calculated at the PBE level.

a b c (Å): 6.5623 4.7625 6.5623
angles (deg): 90.00 90.00 90.00
Positions (direct):
V 0.5000 0.5000 0.5000
Ba 0.0000 0.0000 0.5000
Hg 0.0000 0.0000 0.0000
Si 0.0000 0.5000 0.0000
Ba 0.5000 0.0000 0.0000

Values from the calculation:
- Uncorrected energy: -2.789 eV per atom
- SG: P4/mmm, No. 123

Record 8
Below is an optimized crystal structure of BaSm4Hg5, with properties calculated at the PBE level.

a b c (Å): 3.8571 3.8571 19.4576
angles (deg): 90.00 90.00 90.00
Positions (direct):
Hg 0.5000 0.5000 0.3090
Ba 0.0000 0.0000 0.0000
Hg 0.5000 0.5000 0.5000
Sm 0.0000 0.0000 0.2133
Hg 0.5000 0.5000 0.1232
Hg 0.5000 0.5000 0.6910
Sm 0.0000 0.0000 0.5948
Sm 0.0000 0.0000 0.4052
Sm 0.0000 0.0000 0.7867
Hg 0.5000 0.5000 0.8768

Values from the calculation:
- Uncorrected energy: -2.703 eV per atom
- SG: P4/mmm, No. 123
- Formation energy from the elements: -0.472 eV/atom

Record 9
Below is an optimized crystal structure of Ba4SmHg5, with properties calculated at the PBE level.

a b c (Å): 4.0821 4.0821 20.8853
angles (deg): 90.00 90.00 90.00
Positions (direct):
Ba 0.0000 0.0000 0.3964
Hg 0.5000 0.5000 0.5000
Ba 0.0000 0.0000 0.1880
Sm 0.0000 0.0000 0.0000
Hg 0.5000 0.5000 0.7071
Hg 0.5000 0.5000 0.2929
Ba 0.0000 0.0000 0.6036
Hg 0.5000 0.5000 0.0794
Ba 0.0000 0.0000 0.8120
Hg 0.5000 0.5000 0.9206

Values from the calculation:
- Uncorrected energy: -1.889 eV per atom
- SG: P4/mmm, No. 123
- Formation energy from the elements: -0.497 eV/atom

Record 10
Below is an optimized crystal structure of BaSm5Hg6, with properties calculated at the PBE level.

a b c (Å): 5.4320 7.7445 9.4338
angles (deg): 114.23 106.73 90.00
Positions (direct):
Hg 0.8243 0.5583 0.6486
Sm 0.6600 0.1600 0.3200
Hg 0.1757 0.4417 0.3514
Hg 0.5000 0.7219 0.0000
Sm 0.3297 0.3297 0.6594
Sm 0.3400 0.8400 0.6800
Sm 0.6703 0.6703 0.3406
Hg 0.8243 0.0903 0.6486
Hg 0.1757 0.9097 0.3514
Sm 0.0000 0.5000 0.0000
Ba 0.0000 0.0000 0.0000
Hg 0.5000 0.2781 0.0000

Values from the calculation:
- Uncorrected energy: -2.719 eV per atom
- SG: Immm, No. 71
- Formation energy from the elements: -0.442 eV/atom

Record 11
Below is an optimized crystal structure of BaSmHg2, with properties calculated at the PBE level.

a b c (Å): 4.1929 4.1929 9.5744
angles (deg): 77.35 77.35 60.00
Positions (direct):
Hg 0.7396 0.7396 0.7811
Sm 0.0000 0.0000 0.0000
Hg 0.2604 0.2604 0.2189
Ba 0.5000 0.5000 0.5000

Values from the calculation:
- Uncorrected energy: -2.121 eV per atom
- SG: R-3m, No. 166
- Formation energy from the elements: -0.310 eV/atom

Record 12
Below is an optimized crystal structure of BaSm2Hg, with properties calculated at the PBE level.

a b c (Å): 3.7656 3.7656 12.2733
angles (deg): 81.18 81.18 60.00
Positions (direct):
Sm 0.1023 0.1023 0.6931
Sm 0.8977 0.8977 0.3069
Hg 0.5000 0.5000 0.5000
Ba 0.0000 0.0000 0.0000

Values from the calculation:
- Uncorrected energy: -2.852 eV per atom
- SG: R-3m, No. 166
- Polymorph energy (0 for the lowest one): 168 meV per atom
- Formation energy from the elements: 0.064 eV/atom